No. 1
TlTcPt2: relaxed, PBE.

## Properties
ρ (g/cm3): 17.036
Energy above the most stable polymorph in this dataset (eV/atom): 0.141
DOS at the Fermi energy (states/eV/cell): 8.07
Size of the total moment (Bohr magnetons per cell): 0.001
Formation energy from the elements (eV per atom): 0.2302
Uncorrected energy (eV/atom): -5.973

Unit cell a=5.6453 b=8.3919 c=2.8498 alpha=90.00 beta=90.00 gamma=90.00
Closest atoms and distances in Å follow each position.
Space group Cmmm (No. 65)
Symmetry-distinct sites (fractional):
Tl: 0.0000 0.0000 0.0000 (multiplicity 2)  2 Tc 2.82, 2 Tl 2.85, 8 Pt 2.90
Tc: 0.0000 0.5000 0.0000 (multiplicity 2)  2 Tl 2.82, 2 Tc 2.85, 8 Pt 2.90
Pt: 0.2500 0.2500 0.5000 (multiplicity 4)  4 Pt 2.82-2.85, 4 Tl 2.90, 4 Tc 2.90

No. 2
Ac2LaNdSm4: relaxed, PBE.

## Properties
ρ (g/cm3): 7.347
DOS at the Fermi energy (states/eV/cell): 70.60
Size of the total moment (Bohr magnetons per cell): 0.031
Formation energy from the elements (eV per atom): 0.3779
Uncorrected energy (eV/atom): -4.221

Unit cell a=14.1337 b=13.8433 c=7.1566 alpha=90.00 beta=120.20 gamma=90.00
Closest atoms and distances in Å follow each position.
Space group C2/c (No. 15)
Symmetry-distinct sites (fractional):
Ac: 0.0000 0.0000 0.0000 (multiplicity 4)  2 Ac 3.58, 6 Sm 3.60-3.70
Ac: 0.2500 0.2500 0.0000 (multiplicity 4)  6 Sm 3.57-3.60, 2 Nd 3.58
La: 0.0000 0.5000 0.0000 (multiplicity 4)  6 Sm 3.32-3.40, 2 La 3.58
Nd: 0.2500 0.2500 0.5000 (multiplicity 4)  6 Sm 3.36-3.50, 2 Ac 3.58
Sm: 0.0006 0.2601 0.4849 (multiplicity 8)  1 La 3.32, 1 Sm 3.35, 2 Nd 3.47-3.50, 3 Ac 3.60
Sm: 0.2368 0.4923 0.4845 (multiplicity 8)  1 Nd 3.36, 2 La 3.40, 3 Ac 3.57-3.70, 2 Sm 3.58

No. 3
LuMgScCo: relaxed, PBE.

## Properties
ρ (g/cm3): 6.430
DOS at the Fermi energy (states/eV/cell): 9.70
Size of the total moment (Bohr magnetons per cell): 0.030
Formation energy from the elements (eV per atom): -0.0567
Uncorrected energy (eV/atom): -4.945

Unit cell a=6.7910 b=6.7910 c=6.7910 alpha=90.00 beta=90.00 gamma=90.00
Closest atoms and distances in Å follow each position.
Space group F-43m (No. 216)
Symmetry-distinct sites (fractional):
Lu: 0.0000 0.0000 0.0000 (multiplicity 4)  4 Co 2.94, 4 Mg 2.94
Mg: 0.2500 0.2500 0.7500 (multiplicity 4)  4 Sc 2.94, 4 Lu 2.94
Sc: 0.0000 0.0000 0.5000 (multiplicity 4)  4 Mg 2.94, 4 Co 2.94
Co: 0.2500 0.2500 0.2500 (multiplicity 4)  4 Sc 2.94, 4 Lu 2.94

No. 4
RbNp2Se4: relaxed, PBE.

## Properties
ρ (g/cm3): 5.720
Energy above the most stable polymorph in this dataset (eV/atom): 0.000
E_form (uncorrected) (meV per atom): -1205
DOS at the Fermi energy (states/eV/cell): 19.14
Size of the total moment (Bohr magnetons per cell): 7.000
Uncorrected energy (eV/atom): -7.031

Unit cell a=7.1680 b=4.2098 c=8.4214 alpha=90.00 beta=90.36 gamma=90.00
Closest atoms and distances in Å follow each position.
Space group P2/m (No. 10)
Symmetry-distinct sites (fractional):
Rb: 0.0000 0.0000 0.0000 (multiplicity 1)  6 Se 3.57-3.61
Np: 0.0000 0.0000 0.5000 (multiplicity 1)  6 Se 2.84-2.87
Np: 0.5000 0.5000 0.5000 (multiplicity 1)  6 Se 2.86-2.88
Se: 0.1619 0.5000 0.3138 (multiplicity 2)  3 Np 2.87-2.88
Se: 0.3350 0.0000 0.6822 (multiplicity 2)  3 Np 2.84-2.86

No. 5
Ho3ZnPd12: relaxed, PBE.

## Properties
ρ (g/cm3): 11.356
DOS at the Fermi energy (states/eV/cell): 15.63
Size of the total moment (Bohr magnetons per cell): 0.000
Formation energy from the elements (eV per atom): -0.7353
Uncorrected energy (eV/atom): -5.568

Unit cell a=4.0851 b=4.0851 c=16.0986 alpha=90.00 beta=90.00 gamma=90.00
Closest atoms and distances in Å follow each position.
Space group P4/mmm (No. 123)
Symmetry-distinct sites (fractional):
Ho: 0.0000 0.0000 0.0000 (multiplicity 1)  12 Pd 2.89-2.91
Ho: 0.0000 0.0000 0.2579 (multiplicity 2)  12 Pd 2.89-2.92
Zn: 0.0000 0.0000 0.5000 (multiplicity 1)  12 Pd 2.75-2.89
Pd: 0.0000 0.5000 0.1285 (multiplicity 4)  8 Pd 2.89-2.91, 4 Ho 2.91-2.92
Pd: 0.0000 0.5000 0.3857 (multiplicity 4)  8 Pd 2.75-2.91, 2 Zn 2.75, 2 Ho 2.90
Pd: 0.5000 0.5000 0.0000 (multiplicity 1)  4 Ho 2.89, 8 Pd 2.91
Pd: 0.5000 0.5000 0.2566 (multiplicity 2)  4 Ho 2.89, 8 Pd 2.90-2.91
Pd: 0.5000 0.5000 0.5000 (multiplicity 1)  8 Pd 2.75, 4 Zn 2.89

No. 6
MgNbS2: relaxed, PBE.

## Properties
ρ (g/cm3): 3.578
E_form (uncorrected) (meV per atom): -417
DOS at the Fermi energy (states/eV/cell): 5.93
Size of the total moment (Bohr magnetons per cell): 2.867
Uncorrected energy (eV/atom): -5.397

Unit cell a=3.5561 b=3.5561 c=23.0530 alpha=90.00 beta=90.00 gamma=120.00
Closest atoms and distances in Å follow each position.
Space group R-3m (No. 166, hexagonal axes)
Symmetry-distinct sites (fractional):
Mg: 0.0000 0.0000 0.0000 (multiplicity 3)  6 S 2.54
Nb: 0.0000 0.0000 0.5000 (multiplicity 3)  2 S 2.35
S: 0.0000 0.0000 0.3982 (multiplicity 6)  1 Nb 2.35, 3 Mg 2.54

No. 7
KBaAu10: relaxed, PBE.

## Properties
ρ (g/cm3): 13.190
DOS at the Fermi energy (states/eV/cell): 3.44
Size of the total moment (Bohr magnetons per cell): 0.000
Formation energy from the elements (eV per atom): -0.3338
Uncorrected energy (eV/atom): -3.317

Unit cell a=4.5844 b=5.7944 c=10.1713 alpha=90.00 beta=90.00 gamma=90.00
Closest atoms and distances in Å follow each position.
Space group Pmmm (No. 47)
Symmetry-distinct sites (fractional):
K: 0.0000 0.0000 0.0000 (multiplicity 1)  10 Au 3.34-3.69
Ba: 0.0000 0.5000 0.5000 (multiplicity 1)  18 Au 3.38-3.70
Au: 0.0000 0.0000 0.3288 (multiplicity 2)  6 Au 2.83-2.88
Au: 0.0000 0.5000 0.1624 (multiplicity 2)  6 Au 2.83-2.85
Au: 0.5000 0.0000 0.5000 (multiplicity 1)  8 Au 2.88-2.92
Au: 0.5000 0.2529 0.2517 (multiplicity 4)  8 Au 2.83-2.93
Au: 0.5000 0.5000 0.0000 (multiplicity 1)  8 Au 2.83-2.93

No. 8
Ce5OsRh2: relaxed, PBE.

## Properties
ρ (g/cm3): 9.532
DOS at the Fermi energy (states/eV/cell): 59.48
Size of the total moment (Bohr magnetons per cell): 1.155
Formation energy from the elements (eV per atom): -0.3178
Uncorrected energy (eV/atom): -7.268

Unit cell a=5.2655 b=10.1540 c=14.2921 alpha=90.00 beta=90.00 gamma=90.00
Closest atoms and distances in Å follow each position.
Space group Cmcm (No. 63)
Symmetry-distinct sites (fractional):
Ce: 0.0000 0.0716 0.0860 (multiplicity 8)  1 Os 2.81, 1 Rh 2.82, 3 Ce 2.86-3.11
Ce: 0.0000 0.2455 0.7500 (multiplicity 4)  2 Os 2.65, 2 Rh 2.68
Ce: 0.0000 0.4104 0.1021 (multiplicity 8)  1 Os 2.83, 3 Rh 2.84-3.17, 2 Ce 3.11
Os: 0.0000 0.2251 0.2500 (multiplicity 4)  6 Ce 2.65-2.83
Rh: 0.0000 0.2542 0.5625 (multiplicity 8)  3 Ce 2.68-2.84